[1]
## BeInOs2 (PBE)

Data for BeInOs2 after structural relaxation.

## Properties
- symmetry = Pm (6)
- DFT formation energy (eV/f.u.) = 1.50

abc: 4.1113 2.8792 5.2770
angles: 74.02 90.00 90.00
Last column: nearest neighbours and their distance in Å.
Positions (direct):
Be  0.0000  0.3329  0.4654  4 Os 2.32-2.52
Os  0.0000  0.0332  0.0601  2 Be 2.50-2.52, 4 Os 2.69-2.70
Os  0.5000  0.4342  0.2536  2 Be 2.32
In  0.5000  0.6996  0.7209  3 Os 2.70-2.78, 4 Be 2.82-2.83, 2 In 2.88



[2]
## BeInOs2 (PBE)

Data for BeInOs2 after structural relaxation.

## Properties
- symmetry = P2/m (10)
- DFT formation energy (eV/f.u.) = 1.25

abc: 3.9088 2.8492 5.5280
angles: 72.95 90.00 90.00
Last column: nearest neighbours and their distance in Å.
Positions (direct):
Be  0.5000  0.2500  0.2500  4 Os 2.36
Os  0.0000  0.1043  0.0433  2 Be 2.36, 1 Os 2.57
Os  0.0000  0.3957  0.4567  2 Be 2.36, 1 Os 2.57
In  0.5000  0.7500  0.7500  2 Be 2.71, 8 Os 2.84-2.90, 2 In 2.85



Repeat the first record exactly.
## BeInOs2 (PBE)

Data for BeInOs2 after structural relaxation.

## Properties
- symmetry = Pm (6)
- DFT formation energy (eV/f.u.) = 1.50

abc: 4.1113 2.8792 5.2770
angles: 74.02 90.00 90.00
Last column: nearest neighbours and their distance in Å.
Positions (direct):
Be  0.0000  0.3329  0.4654  4 Os 2.32-2.52
Os  0.0000  0.0332  0.0601  2 Be 2.50-2.52, 4 Os 2.69-2.70
Os  0.5000  0.4342  0.2536  2 Be 2.32
In  0.5000  0.6996  0.7209  3 Os 2.70-2.78, 4 Be 2.82-2.83, 2 In 2.88